(1)
4
Lattice="-2.7169 1.0909 3.3079 2.0173 -2.9271 2.6223 2.8395 3.1234 1.3021" Properties=species:S:1:pos:R:3 comment="Hf3Cd GGA-PBE optimized geometry" de_polymorph_mev_per_atom=0 total_energy_ev_per_atom=-7.6864 n_ef_per_ev_fu=4.19 e_form_ev_per_atom=0.007 space_group="Pm-3m (221)" pbc="T T T"
Hf -0.3498 -0.9181 2.9651
Hf 2.4284 0.0981 1.9622
Hf 0.0613 2.1072 2.3050
Cd 0.0000 0.0000 0.0000

***

(2)
5
Lattice="-2.6053 -1.6264 0.7511 2.0250 0.8754 2.2649 -6.4218 10.9790 1.4982" Properties=species:S:1:pos:R:3 comment="Hf3Cd2 GGA-PBE optimized geometry" total_energy_ev_per_atom=-6.3243 n_ef_per_ev_fu=2.31 e_form_ev_per_atom=0.014 space_group="P-3m1 (164)" pbc="T T T"
Cd -2.3594 1.4259 1.5584
Hf -2.1237 4.4956 2.3681
Hf -4.8783 5.7324 2.1461
Hf 0.0000 0.0000 0.0000
Cd -4.6426 8.8021 2.9557

***

(3)
8
Lattice="4.3071 0.0000 -1.0578 -0.2598 4.2992 -1.0578 0.0067 0.0072 9.3252" Properties=species:S:1:pos:R:3 comment="HfCd7 GGA-PBE optimized geometry" total_energy_ev_per_atom=-2.0372 n_ef_per_ev_fu=3.12 e_form_ev_per_atom=0.008 space_group="I4/mmm (139)" pbc="T T T"
Cd 1.3993 3.7740 5.6979
Cd 0.9938 1.0556 4.0464
Cd 2.6547 0.5323 1.5117
Cd 2.0236 2.1496 -1.0578
Hf 0.0000 0.0000 0.0000
Cd 0.3713 2.6820 1.5117
Cd 3.6828 1.6244 5.6979
Cd 3.0603 3.2508 3.1632

***

(4)
9
Lattice="-0.7270 3.6299 -2.0510 -6.1509 -0.7409 -3.4976 -3.7224 4.1950 4.3774" Properties=species:S:1:pos:R:3 comment="Hf4Cd5 GGA-PBE optimized geometry" total_energy_ev_per_atom=-4.9669 n_ef_per_ev_fu=5.13 e_form_ev_per_atom=-0.035 space_group="I4/mmm (139)" pbc="T T T"
Hf -5.3304 0.9268 -0.8368
Cd -1.4964 2.6177 0.7968
Cd 0.0000 0.0000 0.0000
Hf -6.7830 3.5135 -0.1105
Cd -2.3155 0.9529 -1.8593
Cd -4.5624 1.9361 -3.6893
Cd -2.9530 5.2072 1.5296
Hf -4.5430 2.5273 1.7166
Hf -3.8173 3.5705 -1.0608

***

(5)
3
Lattice="6.5549 0.0008 0.0000 4.9154 4.3366 0.0000 -5.7352 -2.1687 2.3177" Properties=species:S:1:pos:R:3 comment="Hf2Cd GGA-PBE optimized geometry" total_energy_ev_per_atom=-7.0068 n_ef_per_ev_fu=2.59 e_form_ev_per_atom=-0.066 space_group="I4/mmm (139)" pbc="T T T"
Cd 0.0000 0.0000 0.0000
Hf 7.6637 2.8979 0.0000
Hf 3.8066 1.4394 0.0000

***

(6)
8
Lattice="-0.4412 2.5770 1.8438 -6.0850 0.2933 -1.8661 -2.2596 -5.0868 6.5689" Properties=species:S:1:pos:R:3 comment="Hf5Cd3 GGA-PBE optimized geometry" total_energy_ev_per_atom=-6.5880 n_ef_per_ev_fu=5.52 e_form_ev_per_atom=-0.024 space_group="Pmm2 (25)" pbc="T T T"
Hf -2.6991 -2.4650 2.7993
Hf -5.6431 -2.3231 1.8965
Cd -1.9210 -2.5395 5.8651
Cd -3.7821 -5.0008 6.0843
Hf -3.8370 0.1432 1.6572
Hf -0.7858 0.0161 2.5650
Cd -6.8112 -4.8548 5.1554
Hf -4.9563 -2.3765 4.9110

***

(7)
4
Lattice="3.1335 0.0000 0.0000 0.0000 5.4484 0.0000 -1.5667 -2.7242 5.1220" Properties=species:S:1:pos:R:3 comment="Hf3Cd GGA-PBE optimized geometry" de_polymorph_mev_per_atom=34 total_energy_ev_per_atom=-7.6525 n_ef_per_ev_fu=4.46 e_form_ev_per_atom=0.041 space_group="Imm2 (44)" pbc="T T T"
Hf 1.5667 -0.8571 2.4991
Cd 0.0000 0.0075 0.0000
Hf 1.5667 2.6148 0.0000
Hf 0.0000 1.8671 2.6229

***

(8)
6
Lattice="-4.8351 -0.1298 -0.4579 -2.7475 -1.6269 3.6981 -3.0928 4.4386 5.6252" Properties=species:S:1:pos:R:3 comment="HfCd5 GGA-PBE optimized geometry" de_polymorph_mev_per_atom=20 total_energy_ev_per_atom=-2.3764 n_ef_per_ev_fu=2.92 e_form_ev_per_atom=0.045 space_group="C2/m (12)" pbc="T T T"
Cd -5.1226 -0.5224 2.6898
Cd -5.4276 0.0602 5.7451
Hf -5.6003 3.0925 6.7096
Cd -7.6505 -1.1207 3.7769
Cd -7.8203 2.1381 4.6458
Cd -5.2924 2.7366 3.5592